# PBE-GGA PrDy6Ho12, relaxed
data_PrDy6Ho12
_chemical_formula_sum 'Pr3 Dy18 Ho36'
_space_group_name_H-M_alt 'R -3'
_space_group_IT_number 148
_space_group_name_Hall '-R 3'
_cell_length_a 11.8543
_cell_length_b 11.8543
_cell_length_c 15.1049
_cell_angle_alpha 90.00
_cell_angle_beta 90.00
_cell_angle_gamma 120.00
loop_
_atom_site_label
_atom_site_type_symbol
_atom_site_fract_x
_atom_site_fract_y
_atom_site_fract_z
Pr1 Pr 0.0000 0.0000 0.0000
Dy1 Dy 0.0078 0.5865 0.6777
Ho1 Ho 0.0204 0.1831 0.1919
Ho2 Ho 0.0399 0.1883 0.4158
# **Crystal system**: trigonal
# **Raw total energy**: -4.44 eV/atom



# PBE-GGA PrDy2Ho3, relaxed
data_PrDy2Ho3
_chemical_formula_sum 'Pr4 Dy8 Ho12'
_space_group_name_H-M_alt 'C 1 2/c 1'
_space_group_IT_number 15
_space_group_name_Hall '-C 2yc'
_cell_length_a 17.4565
_cell_length_b 7.1229
_cell_length_c 6.1608
_cell_angle_alpha 90.00
_cell_angle_beta 90.18
_cell_angle_gamma 90.00
loop_
_atom_site_label
_atom_site_type_symbol
_atom_site_fract_x
_atom_site_fract_y
_atom_site_fract_z
Pr1 Pr 0.0000 0.1261 0.2500
Dy1 Dy 0.1676 0.3755 0.4174
Ho1 Ho 0.0000 0.3764 0.7500
Ho2 Ho 0.1683 0.1256 0.9151
# **Crystal system**: monoclinic
# **Raw total energy**: -4.60 eV/atom



# PBE-GGA Pr12Dy2Ho5, relaxed
data_Pr12Dy2Ho5
_chemical_formula_sum 'Pr24 Dy4 Ho10'
_space_group_name_H-M_alt 'C 1 2/m 1'
_space_group_IT_number 12
_space_group_name_Hall '-C 2y'
_cell_length_a 15.2496
_cell_length_b 10.7136
_cell_length_c 8.1505
_cell_angle_alpha 90.00
_cell_angle_beta 94.06
_cell_angle_gamma 90.00
loop_
_atom_site_label
_atom_site_type_symbol
_atom_site_fract_x
_atom_site_fract_y
_atom_site_fract_z
Pr1 Pr 0.0556 0.0000 0.2139
Pr2 Pr 0.1069 0.2279 0.8854
Pr3 Pr 0.1305 0.5000 0.6060
Pr4 Pr 0.1838 0.2768 0.2923
Dy1 Dy 0.0000 0.2291 0.5000
Ho1 Ho 0.0000 0.5000 0.0000
Ho2 Ho 0.1562 0.0000 0.5980
Ho3 Ho 0.2411 0.5000 0.9881
# **Crystal system**: monoclinic
# **Raw total energy**: -4.58 eV/atom



Spin magnetization across the listed records, respectively: 0.0001, 0.0001, 0.0000 μB per atom.